18
Lattice="-7.361 -2.832 5.246 2.600 -5.009 -7.607 3.993 -3.538 3.694" Properties=species:S:1:pos:R:3 comment="Ce5CuSn3 PBE relaxed" rho_g_cm3=7.38 delta_e_f_mev_per_atom=-477 e_tot_ev_per_atom=-5.563 n_ef_per_ev_fu=24.3 space_group="P6_3/mcm, No. 193" pbc="T T T"
Ce 1.717 -4.758 2.137
Ce 4.897 -6.318 -2.795
Ce -2.390 -4.725 6.608
Ce -2.485 -6.620 -0.804
Ce 1.696 -2.229 -1.118
Ce -0.977 -1.645 2.331
Ce -2.044 -5.326 2.808
Ce 1.276 -6.052 -1.476
Ce -0.720 -4.283 -3.323
Ce -4.041 -3.557 0.961
Cu 1.997 -1.769 1.847
Cu 0.000 0.000 0.000
Sn 0.040 -7.519 1.305
Sn 3.981 -4.553 -0.115
Sn 0.203 -3.728 4.761
Sn -0.808 -3.859 0.028
Sn 2.612 -3.993 -3.798
Sn -3.570 -2.642 4.179